<i>
BTe2Au: optimized geometry, PBE.

Properties
Magnetization ... 0.00 Bohr magnetons per cell

Cell lengths 4.930, 4.930, 4.930 Å; angles 60.00, 60.00, 60.00 degrees
Sites, in units of the cell vectors:
Te (0.750, 0.750, 0.750)
Au (0.500, 0.500, 0.500)
B (0.000, 0.000, 0.000)
Te (0.250, 0.250, 0.250)

---

<ii>
BTe2Au: optimized geometry, PBE.

Properties
Magnetization ... 0.00 Bohr magnetons per cell

Cell lengths 7.376, 7.376, 7.376 Å; angles 36.09, 36.09, 36.09 degrees
Sites, in units of the cell vectors:
B (0.000, 0.000, 0.000)
Te (0.901, 0.901, 0.901)
Au (0.500, 0.500, 0.500)
Te (0.099, 0.099, 0.099)

---

<iii>
BTe2Au: optimized geometry, PBE.

Properties
Magnetization ... 0.00 Bohr magnetons per cell

Cell lengths 8.317, 8.317, 8.317 Å; angles 25.36, 25.36, 25.36 degrees
Sites, in units of the cell vectors:
Te (0.891, 0.891, 0.891)
Te (0.109, 0.109, 0.109)
B (0.500, 0.500, 0.500)
Au (0.000, 0.000, 0.000)

---

Energy comparison, zero being the most stable, in kJ/mol of atoms: <i> 49.0; <ii> 0.0; <iii> 4.9.